Record 1
Computed, not measured: a relaxed Mg4IrAu3 crystal at the GGA-PBE level of DFT.

The space group is P4/mmm (No. 123) and the conventional cell measures 3.252, 3.252 and 13.031 Å, with angles of 90.00, 90.00 and 90.00 degrees. The distinct sites, in fractional coordinates, are Mg at (0.000, 0.000, 0.111), Mg at (0.000, 0.000, 0.371), Ir at (0.500, 0.500, 0.000), Au at (0.500, 0.500, 0.241) and Au at (0.500, 0.500, 0.500).

For the energy relative to the elements, the calculation gives -0.537 eV/atom. The total energy comes out at -3.671 eV per atom. The magnetization is 0.00 μB per atom.

***

Record 2
Computed, not measured: a relaxed Mg5Ir2Au crystal at the GGA-PBE level of DFT.

The space group is Pbam (No. 55) and the conventional cell measures 5.641, 11.080 and 4.343 Å, with angles of 90.00, 90.00 and 90.00 degrees. The distinct sites, in fractional coordinates, are Mg at (0.000, 0.000, 0.000), Mg at (0.090, 0.260, 0.000), Mg at (0.188, 0.613, 0.500), Ir at (0.174, 0.864, 0.500) and Au at (0.000, 0.500, 0.000).

For the energy relative to the elements, the calculation gives -0.334 eV/atom. The total energy comes out at -3.956 eV per atom. The magnetization is 0.00 μB per atom.